Entry 1:
Entry from Alexandria: MoIr2SeCl at its PBEsol-relaxed geometry (SCAN).

abc: 4.524 4.524 4.901
angles: 90.00 90.00 90.00
Fractional positions:
Mo (0.000, 0.000, 0.000)
Ir (0.000, 0.500, 0.500)
Ir (0.500, 0.000, 0.500)
Se (0.500, 0.500, 0.500)
Cl (0.500, 0.500, 0.000)

Properties
Energy relative to the elements, uncorrected ... 1.51 eV/atom
Total magnetization ... 4.72 μB/f.u.
Space group ... P4/mmm (123)

=====

Entry 2:
Entry from Alexandria: Na2IrOsCl at its PBEsol-relaxed geometry (SCAN).

abc: 5.711 5.711 4.527
angles: 90.00 90.00 90.00
Fractional positions:
Na (0.000, 0.500, 0.000)
Na (0.500, 0.000, 0.000)
Ir (0.000, 0.000, 0.500)
Os (0.000, 0.000, 0.000)
Cl (0.500, 0.500, 0.500)

Properties
Energy relative to the elements, uncorrected ... 0.76 eV/atom
Total magnetization ... 0.85 μB/f.u.
Space group ... P4/mmm (123)

=====

Entry 3:
Entry from Alexandria: NaIrRhCl2 at its PBEsol-relaxed geometry (SCAN).

abc: 4.515 4.515 4.969
angles: 90.00 90.00 90.00
Fractional positions:
Na (0.000, 0.000, 0.000)
Ir (0.500, 0.500, 0.500)
Rh (0.000, 0.000, 0.500)
Cl (0.000, 0.500, 0.000)
Cl (0.500, 0.000, 0.000)

Properties
Energy relative to the elements, uncorrected ... 1.23 eV/atom
Total magnetization ... 3.82 μB/f.u.
Space group ... P4/mmm (123)

=====

Entry 4:
Entry from Alexandria: NaIrS2Cl at its PBEsol-relaxed geometry (SCAN).

abc: 4.717 4.717 4.547
angles: 90.00 90.00 90.00
Fractional positions:
Na (0.000, 0.000, 0.000)
Ir (0.500, 0.500, 0.500)
S (0.000, 0.500, 0.000)
S (0.500, 0.000, 0.000)
Cl (0.000, 0.000, 0.500)

Properties
Energy relative to the elements, uncorrected ... 1.39 eV/atom
Total magnetization ... 4.49 μB/f.u.
Space group ... P4/mmm (123)

=====

Entry 5:
Entry from Alexandria: NaTeIrCl2 at its PBEsol-relaxed geometry (SCAN).

abc: 4.564 4.564 6.329
angles: 90.00 90.00 90.00
Fractional positions:
Na (0.000, 0.000, 0.000)
Te (0.500, 0.500, 0.000)
Ir (0.000, 0.000, 0.500)
Cl (0.000, 0.500, 0.500)
Cl (0.500, 0.000, 0.500)

Properties
Energy relative to the elements, uncorrected ... 0.10 eV/atom
Total magnetization ... 0.51 μB/f.u.
Space group ... P4/mmm (123)

=====

Entry 6:
Entry from Alexandria: Nb3IrCl at its PBEsol-relaxed geometry (SCAN).

abc: 4.877 4.877 4.877
angles: 90.00 90.00 90.00
Fractional positions:
Nb (0.000, 0.000, 0.500)
Nb (0.000, 0.500, 0.000)
Nb (0.500, 0.000, 0.000)
Ir (0.000, 0.000, 0.000)
Cl (0.500, 0.500, 0.500)

Properties
Energy relative to the elements, uncorrected ... 0.92 eV/atom
Total magnetization ... 0.00 μB/f.u.
Space group ... Pm-3m (221)

=====

Entry 7:
Entry from Alexandria: NbIr2SeCl at its PBEsol-relaxed geometry (SCAN).

abc: 4.319 4.319 4.819
angles: 90.00 90.00 90.00
Fractional positions:
Nb (0.000, 0.000, 0.000)
Ir (0.000, 0.500, 0.500)
Ir (0.500, 0.000, 0.500)
Se (0.500, 0.500, 0.000)
Cl (0.500, 0.500, 0.500)

Properties
Energy relative to the elements, uncorrected ... 1.56 eV/atom
Total magnetization ... 2.56 μB/f.u.
Space group ... P4/mmm (123)

=====

Entry 8:
Entry from Alexandria: NiIrCl2 at its PBEsol-relaxed geometry (SCAN).

abc: 6.892 6.892 6.892
angles: 29.47 29.47 29.47
Fractional positions:
Ni (0.000, 0.000, 0.000)
Ir (0.264, 0.264, 0.264)
Cl (0.537, 0.537, 0.537)
Cl (0.721, 0.721, 0.721)

Properties
Energy relative to the elements, uncorrected ... 0.03 eV/atom
Total magnetization ... 0.00 μB/f.u.
Space group ... R3m (160)

=====

Entry 9:
Entry from Alexandria: Ni2IrCl at its PBEsol-relaxed geometry (SCAN).

abc: 4.183 4.183 4.183
angles: 60.00 60.00 60.00
Fractional positions:
Ni (0.250, 0.250, 0.250)
Ni (0.750, 0.750, 0.750)
Ir (0.000, 0.000, 0.000)
Cl (0.500, 0.500, 0.500)

Properties
Energy relative to the elements, uncorrected ... 0.91 eV/atom
Total magnetization ... 2.76 μB/f.u.
Space group ... Fm-3m (225)

=====

Entry 10:
Entry from Alexandria: Ni2IrCl at its PBEsol-relaxed geometry (SCAN).

abc: 4.888 4.888 4.888
angles: 147.70 125.85 64.48
Fractional positions:
Ni (0.236, 0.236, 0.000)
Ni (0.764, 0.764, 0.000)
Ir (0.500, 0.000, 0.500)
Cl (0.000, 0.500, 0.500)

Properties
Energy relative to the elements, uncorrected ... 0.75 eV/atom
Total magnetization ... 1.59 μB/f.u.
Space group ... Immm (71)

=====

Entry 11:
Entry from Alexandria: NiIr2Cl at its PBEsol-relaxed geometry (SCAN).

abc: 2.751 2.751 8.612
angles: 90.00 90.00 121.67
Fractional positions:
Ni (0.000, 0.000, 0.000)
Ir (0.500, 0.500, 0.243)
Ir (0.500, 0.500, 0.757)
Cl (0.000, 0.000, 0.500)

Properties
Energy relative to the elements, uncorrected ... 0.63 eV/atom
Total magnetization ... 1.03 μB/f.u.
Space group ... Cmmm (65)

=====

Entry 12:
Entry from Alexandria: NiIrCl2 at its PBEsol-relaxed geometry (SCAN).

abc: 4.285 4.285 4.285
angles: 119.95 119.95 90.09
Fractional positions:
Ni (0.000, 0.000, 0.000)
Ir (0.500, 0.500, 0.000)
Cl (0.250, 0.750, 0.500)
Cl (0.750, 0.250, 0.500)

Properties
Energy relative to the elements, uncorrected ... 1.08 eV/atom
Total magnetization ... 0.00 μB/f.u.
Space group ... I4/mmm (139)

=====

Entry 13:
Entry from Alexandria: Ni2IrCl at its PBEsol-relaxed geometry (SCAN).

abc: 4.437 4.437 2.638
angles: 90.00 90.00 90.00
Fractional positions:
Ni (0.000, 0.500, 0.000)
Ni (0.500, 0.000, 0.000)
Ir (0.000, 0.000, 0.500)
Cl (0.500, 0.500, 0.500)

Properties
Energy relative to the elements, uncorrected ... 0.59 eV/atom
Total magnetization ... 2.31 μB/f.u.
Space group ... P4/mmm (123)

=====

Entry 14:
Entry from Alexandria: NiIr2Cl at its PBEsol-relaxed geometry (SCAN).

abc: 8.273 8.273 8.273
angles: 19.38 19.38 19.38
Fractional positions:
Ni (0.000, 0.000, 0.000)
Ir (0.254, 0.254, 0.254)
Ir (0.746, 0.746, 0.746)
Cl (0.500, 0.500, 0.500)

Properties
Energy relative to the elements, uncorrected ... 0.55 eV/atom
Total magnetization ... 0.00 μB/f.u.
Space group ... R-3m (166)

=====

Entry 15:
Entry from Alexandria: NiIr2Cl at its PBEsol-relaxed geometry (SCAN).

abc: 4.416 4.416 7.327
angles: 122.16 122.16 36.22
Fractional positions:
Ni (0.000, 0.000, 0.000)
Ir (0.372, 0.372, 0.195)
Ir (0.716, 0.716, 0.341)
Cl (0.365, 0.365, 0.702)

Properties
Energy relative to the elements, uncorrected ... 0.43 eV/atom
Total magnetization ... 0.00 μB/f.u.
Space group ... Cm (8)

=====

Entry 16:
Entry from Alexandria: NiIrPb2Cl at its PBEsol-relaxed geometry (SCAN).

abc: 5.199 5.199 4.427
angles: 90.00 90.00 90.00
Fractional positions:
Ni (0.000, 0.000, 0.000)
Ir (0.000, 0.000, 0.500)
Pb (0.000, 0.500, 0.000)
Pb (0.500, 0.000, 0.000)
Cl (0.500, 0.500, 0.500)

Properties
Energy relative to the elements, uncorrected ... 0.54 eV/atom
Total magnetization ... 1.15 μB/f.u.
Space group ... P4/mmm (123)

=====

Entry 17:
Entry from Alexandria: Ir2ClO2 at its PBEsol-relaxed geometry (SCAN).

abc: 5.330 5.330 5.330
angles: 136.26 136.26 63.58
Fractional positions:
Ir (0.250, 0.750, 0.500)
Ir (0.750, 0.250, 0.500)
Cl (0.000, 0.000, 0.000)
O (0.321, 0.321, 0.000)
O (0.679, 0.679, 0.000)

Properties
Energy relative to the elements, uncorrected ... 0.68 eV/atom
Total magnetization ... 0.00 μB/f.u.
Space group ... I4/mmm (139)

=====

Entry 18:
Entry from Alexandria: IrPtCl2O at its PBEsol-relaxed geometry (SCAN).

abc: 4.608 4.608 4.905
angles: 90.00 90.00 90.00
Fractional positions:
Ir (0.000, 0.000, 0.000)
Pt (0.000, 0.000, 0.500)
Cl (0.000, 0.500, 0.000)
Cl (0.500, 0.000, 0.000)
O (0.500, 0.500, 0.500)

Properties
Energy relative to the elements, uncorrected ... 1.10 eV/atom
Total magnetization ... 2.22 μB/f.u.
Space group ... P4/mmm (123)

=====

Entry 19:
Entry from Alexandria: IrSCl2O at its PBEsol-relaxed geometry (SCAN).

abc: 4.442 4.442 3.810
angles: 90.00 90.00 90.00
Fractional positions:
Ir (0.000, 0.000, 0.000)
S (0.500, 0.500, 0.000)
Cl (0.000, 0.500, 0.500)
Cl (0.500, 0.000, 0.500)
O (0.500, 0.500, 0.500)

Properties
Energy relative to the elements, uncorrected ... 1.49 eV/atom
Total magnetization ... 3.14 μB/f.u.
Space group ... P4/mmm (123)

=====

Entry 20:
Entry from Alexandria: Ir3OsCl at its PBEsol-relaxed geometry (SCAN).

abc: 4.713 4.713 4.713
angles: 90.00 90.00 90.00
Fractional positions:
Ir (0.000, 0.000, 0.500)
Ir (0.000, 0.500, 0.000)
Ir (0.500, 0.000, 0.000)
Os (0.000, 0.000, 0.000)
Cl (0.500, 0.500, 0.500)

Properties
Energy relative to the elements, uncorrected ... 2.09 eV/atom
Total magnetization ... 0.99 μB/f.u.
Space group ... Pm-3m (221)